<A>
# HfZnIF2

A geometry-optimized HfZnIF2 structure (PBE, the Alexandria database).

Cell and atoms, written as POSCAR:
```
HfZnIF2
1.0
4.1362 0.0000 0.0000
0.0000 4.1362 0.0000
0.0000 0.0000 5.7891
Hf Zn I F
1 1 1 2
direct
0.0000 0.0000 0.0000
0.0000 0.0000 0.5000
0.5000 0.5000 0.0000
0.0000 0.5000 0.5000
0.5000 0.0000 0.5000
```

Summary:
* SG: No. 123

<B>
# HfZnIF2

A geometry-optimized HfZnIF2 structure (PBE, the Alexandria database).

Cell and atoms, written as POSCAR:
```
HfZnIF2
1.0
4.6565 0.0000 0.0000
0.0000 4.6565 0.0000
0.0000 0.0000 5.4427
Hf Zn I F
1 1 1 2
direct
0.0000 0.0000 0.0000
0.5000 0.5000 0.0000
0.0000 0.0000 0.5000
0.0000 0.5000 0.5000
0.5000 0.0000 0.5000
```

Summary:
* SG: No. 123

So which one is most stable? That would be <A>, about 703 meV per atom below the next structure.